# 1
The following is a DFT calculation (PBE) of a geometry-optimized CeEuAgBi structure. Values from VASP.

Geometry as Quantum ESPRESSO input:
```
&SYSTEM
  ibrav = 0, nat = 4, ntyp = 4
/
ATOMIC_SPECIES
Eu 151.96 Eu.upf
Bi 208.98 Bi.upf
Ce 140.12 Ce.upf
Ag 107.87 Ag.upf
ATOMIC_POSITIONS crystal
Eu 0.250 0.250 0.250
Bi 0.500 0.500 0.500
Ce 0.750 0.750 0.750
Ag 0.000 0.000 0.000
CELL_PARAMETERS angstrom
-1.826 1.148 5.061
1.816 -2.906 4.304
3.363 2.335 3.674
```



# 2
The following is a DFT calculation (PBE) of a geometry-optimized CeGdAgBi structure. Values from VASP.

Geometry as Quantum ESPRESSO input:
```
&SYSTEM
  ibrav = 0, nat = 4, ntyp = 4
/
ATOMIC_SPECIES
Gd 157.25 Gd.upf
Bi 208.98 Bi.upf
Ag 107.87 Ag.upf
Ce 140.12 Ce.upf
ATOMIC_POSITIONS crystal
Gd 0.500 0.500 0.500
Bi 0.250 0.250 0.250
Ag 0.750 0.750 0.750
Ce 0.000 0.000 0.000
CELL_PARAMETERS angstrom
-2.832 -2.944 -3.547
0.896 -5.319 -0.427
-3.714 -3.520 1.760
```



# 3
The following is a DFT calculation (PBE) of a geometry-optimized CeAgHgBi structure. Values from VASP.

Geometry as Quantum ESPRESSO input:
```
&SYSTEM
  ibrav = 0, nat = 4, ntyp = 4
/
ATOMIC_SPECIES
Bi 208.98 Bi.upf
Hg 200.59 Hg.upf
Ce 140.12 Ce.upf
Ag 107.87 Ag.upf
ATOMIC_POSITIONS crystal
Bi 0.000 0.000 0.000
Hg 0.500 0.500 0.500
Ce 0.750 0.750 0.750
Ag 0.250 0.250 0.250
CELL_PARAMETERS angstrom
5.286 0.000 0.000
2.643 4.578 0.000
2.643 1.526 4.316
```



# 4
The following is a DFT calculation (PBE) of a geometry-optimized CeHoAgBi structure. Values from VASP.

Geometry as Quantum ESPRESSO input:
```
&SYSTEM
  ibrav = 0, nat = 4, ntyp = 4
/
ATOMIC_SPECIES
Bi 208.98 Bi.upf
Ag 107.87 Ag.upf
Ce 140.12 Ce.upf
Ho 164.93 Ho.upf
ATOMIC_POSITIONS crystal
Bi 0.750 0.750 0.750
Ag 0.250 0.250 0.250
Ce 0.500 0.500 0.500
Ho 0.000 0.000 0.000
CELL_PARAMETERS angstrom
5.373 0.000 0.000
2.686 4.653 0.000
2.686 1.551 4.387
```



# 5
The following is a DFT calculation (PBE) of a geometry-optimized LaCeAgBi structure. Values from VASP.

Geometry as Quantum ESPRESSO input:
```
&SYSTEM
  ibrav = 0, nat = 4, ntyp = 4
/
ATOMIC_SPECIES
La 138.91 La.upf
Ag 107.87 Ag.upf
Ce 140.12 Ce.upf
Bi 208.98 Bi.upf
ATOMIC_POSITIONS crystal
La 0.500 0.500 0.500
Ag 0.750 0.750 0.750
Ce 0.000 0.000 0.000
Bi 0.250 0.250 0.250
CELL_PARAMETERS angstrom
5.517 0.000 0.000
2.759 4.778 0.000
2.759 1.593 4.505
```



# 6
The following is a DFT calculation (PBE) of a geometry-optimized LiCeAgBi structure. Values from VASP.

Geometry as Quantum ESPRESSO input:
```
&SYSTEM
  ibrav = 0, nat = 4, ntyp = 4
/
ATOMIC_SPECIES
Ce 140.12 Ce.upf
Ag 107.87 Ag.upf
Bi 208.98 Bi.upf
Li 6.94 Li.upf
ATOMIC_POSITIONS crystal
Ce 0.750 0.750 0.750
Ag 0.500 0.500 0.500
Bi 0.000 0.000 0.000
Li 0.250 0.250 0.250
CELL_PARAMETERS angstrom
5.229 0.000 0.000
2.614 4.528 0.000
2.614 1.509 4.269
```



# 7
The following is a DFT calculation (PBE) of a geometry-optimized CeLuAgBi structure. Values from VASP.

Geometry as Quantum ESPRESSO input:
```
&SYSTEM
  ibrav = 0, nat = 4, ntyp = 4
/
ATOMIC_SPECIES
Ce 140.12 Ce.upf
Ag 107.87 Ag.upf
Lu 174.97 Lu.upf
Bi 208.98 Bi.upf
ATOMIC_POSITIONS crystal
Ce 0.500 0.500 0.500
Ag 0.250 0.250 0.250
Lu 0.000 0.000 0.000
Bi 0.750 0.750 0.750
CELL_PARAMETERS angstrom
5.341 0.000 0.000
2.671 4.626 0.000
2.671 1.542 4.361
```



# 8
The following is a DFT calculation (PBE) of a geometry-optimized CeMgAgBi structure. Values from VASP.

Geometry as Quantum ESPRESSO input:
```
&SYSTEM
  ibrav = 0, nat = 4, ntyp = 4
/
ATOMIC_SPECIES
Ag 107.87 Ag.upf
Ce 140.12 Ce.upf
Mg 24.30 Mg.upf
Bi 208.98 Bi.upf
ATOMIC_POSITIONS crystal
Ag 0.250 0.250 0.250
Ce 0.000 0.000 0.000
Mg 0.500 0.500 0.500
Bi 0.750 0.750 0.750
CELL_PARAMETERS angstrom
5.269 0.000 0.000
2.635 4.563 0.000
2.635 1.521 4.302
```



Number 1: calculated volume 117.72 Å³ per cell, uncorrected energy -24.8 eV for the cell shown, formation energy from the elements -1.83 eV per formula unit. Number 2: calculated volume 112.01 Å³ per cell, uncorrected energy -28.5 eV for the cell shown, formation energy from the elements -1.72 eV per formula unit. Number 3: calculated volume 104.46 Å³ per cell, uncorrected energy -14.1 eV for the cell shown, formation energy from the elements -1.10 eV per formula unit. Number 4: calculated volume 109.67 Å³ per cell, uncorrected energy -18.7 eV for the cell shown, formation energy from the elements -1.48 eV per formula unit. Number 5: calculated volume 118.76 Å³ per cell, uncorrected energy -19.3 eV for the cell shown, formation energy from the elements -1.76 eV per formula unit. Number 6: calculated volume 101.08 Å³ per cell, uncorrected energy -16.1 eV for the cell shown, formation energy from the elements -1.51 eV per formula unit. Number 7: calculated volume 107.74 Å³ per cell, uncorrected energy -18.5 eV for the cell shown, formation energy from the elements -1.32 eV per formula unit. Number 8: calculated volume 103.46 Å³ per cell, uncorrected energy -15.3 eV for the cell shown, formation energy from the elements -1.07 eV per formula unit.